(1)
! Li4ThSc3Te8 PBE relaxed; values from VASP
&SYSTEM
  ibrav = 0, nat = 16, ntyp = 4
/
ATOMIC_SPECIES
Li 6.94 Li.upf
Th 232.04 Th.upf
Sc 44.96 Sc.upf
Te 127.60 Te.upf
CELL_PARAMETERS angstrom
4.216 2.434 7.041
-4.216 2.434 7.041
0.000 -4.868 7.041
ATOMIC_POSITIONS crystal
Li 0.000 0.000 0.000
Li 0.000 0.500 0.500
Li 0.500 0.000 0.500
Li 0.500 0.500 0.000
Th 0.500 0.500 0.500
Sc 0.000 0.000 0.500
Sc 0.000 0.500 0.000
Sc 0.500 0.000 0.000
Te 0.237 0.759 0.759
Te 0.241 0.241 0.763
Te 0.241 0.763 0.241
Te 0.247 0.247 0.247
Te 0.753 0.753 0.753
Te 0.759 0.237 0.759
Te 0.759 0.759 0.237
Te 0.763 0.241 0.241
! Electronic total energy = -4.852 eV per atom
! Symmetry = R-3m, No. 166
! DOS(E_F) = 0.300 states/eV per atom
! V = 434 Å³/f.u.



(2)
! Li3ScTi2Te6 PBE relaxed; values from VASP
&SYSTEM
  ibrav = 0, nat = 12, ntyp = 4
/
ATOMIC_SPECIES
Li 6.94 Li.upf
Sc 44.96 Sc.upf
Ti 47.87 Ti.upf
Te 127.60 Te.upf
CELL_PARAMETERS angstrom
3.481 -6.057 0.000
3.481 6.057 0.000
-2.339 0.000 7.022
ATOMIC_POSITIONS crystal
Li 0.000 0.000 0.000
Li 0.341 0.659 0.000
Li 0.659 0.341 0.000
Sc 0.500 0.500 0.500
Ti 0.173 0.827 0.500
Ti 0.827 0.173 0.500
Te 0.077 0.418 0.258
Te 0.234 0.234 0.734
Te 0.418 0.077 0.258
Te 0.582 0.923 0.742
Te 0.766 0.766 0.266
Te 0.923 0.582 0.742
! Electronic total energy = -4.799 eV per atom
! Symmetry = C2/m, No. 12
! DOS(E_F) = 0.489 states/eV per atom
! V = 296 Å³/f.u.



(3)
! Li3Sc3TiTe8 PBE relaxed; values from VASP
&SYSTEM
  ibrav = 0, nat = 15, ntyp = 4
/
ATOMIC_SPECIES
Li 6.94 Li.upf
Sc 44.96 Sc.upf
Ti 47.87 Ti.upf
Te 127.60 Te.upf
CELL_PARAMETERS angstrom
7.067 -4.084 0.000
7.067 4.084 0.000
-4.712 0.000 7.062
ATOMIC_POSITIONS crystal
Li 0.000 0.000 0.000
Li 0.000 0.500 0.000
Li 0.500 0.000 0.000
Sc 0.000 0.500 0.500
Sc 0.500 0.000 0.500
Sc 0.500 0.500 0.500
Ti 0.000 0.000 0.500
Te 0.241 0.241 0.738
Te 0.241 0.756 0.738
Te 0.244 0.759 0.262
Te 0.251 0.251 0.254
Te 0.749 0.749 0.746
Te 0.756 0.241 0.738
Te 0.759 0.244 0.262
Te 0.759 0.759 0.262
! Electronic total energy = -4.907 eV per atom
! Symmetry = C2/m, No. 12
! DOS(E_F) = 0.141 states/eV per atom
! V = 408 Å³/f.u.



(4)
! LiSc2Tl3Te6 PBE relaxed; values from VASP
&SYSTEM
  ibrav = 0, nat = 12, ntyp = 4
/
ATOMIC_SPECIES
Li 6.94 Li.upf
Sc 44.96 Sc.upf
Tl 204.38 Tl.upf
Te 127.60 Te.upf
CELL_PARAMETERS angstrom
3.720 -6.475 0.000
3.720 6.475 0.000
-2.510 0.000 7.717
ATOMIC_POSITIONS crystal
Li 0.000 0.000 0.000
Sc 0.332 0.668 0.000
Sc 0.668 0.332 0.000
Tl 0.167 0.833 0.500
Tl 0.500 0.500 0.500
Tl 0.833 0.167 0.500
Te 0.070 0.411 0.209
Te 0.272 0.272 0.795
Te 0.411 0.070 0.209
Te 0.589 0.930 0.791
Te 0.728 0.728 0.205
Te 0.930 0.589 0.791
! Electronic total energy = -4.106 eV per atom
! Symmetry = C2/m, No. 12
! DOS(E_F) = 0.560 states/eV per atom
! V = 372 Å³/f.u.



(5)
! Li3Tm3ScTe8 PBE relaxed; values from VASP
&SYSTEM
  ibrav = 0, nat = 15, ntyp = 4
/
ATOMIC_SPECIES
Li 6.94 Li.upf
Tm 168.93 Tm.upf
Sc 44.96 Sc.upf
Te 127.60 Te.upf
CELL_PARAMETERS angstrom
4.233 2.444 7.082
-4.233 2.444 7.082
0.000 -4.888 7.082
ATOMIC_POSITIONS crystal
Li 0.000 0.500 0.500
Li 0.500 0.000 0.500
Li 0.500 0.500 0.000
Tm 0.000 0.000 0.500
Tm 0.000 0.500 0.000
Tm 0.500 0.000 0.000
Sc 0.500 0.500 0.500
Te 0.252 0.252 0.252
Te 0.254 0.254 0.743
Te 0.254 0.743 0.254
Te 0.257 0.746 0.746
Te 0.743 0.254 0.254
Te 0.746 0.257 0.746
Te 0.746 0.746 0.257
Te 0.748 0.748 0.748
! Electronic total energy = -4.570 eV per atom
! Symmetry = R-3m, No. 166
! DOS(E_F) = 0.227 states/eV per atom
! V = 440 Å³/f.u.



(6)
! Li3Tm2ScTe6 PBE relaxed; values from VASP
&SYSTEM
  ibrav = 0, nat = 12, ntyp = 4
/
ATOMIC_SPECIES
Li 6.94 Li.upf
Tm 168.93 Tm.upf
Sc 44.96 Sc.upf
Te 127.60 Te.upf
CELL_PARAMETERS angstrom
3.685 -6.384 0.000
3.685 6.384 0.000
-2.459 0.000 7.018
ATOMIC_POSITIONS crystal
Li 0.000 0.000 0.000
Li 0.331 0.669 0.000
Li 0.669 0.331 0.000
Tm 0.166 0.834 0.500
Tm 0.834 0.166 0.500
Sc 0.500 0.500 0.500
Te 0.092 0.417 0.250
Te 0.259 0.259 0.749
Te 0.417 0.092 0.250
Te 0.583 0.908 0.750
Te 0.741 0.741 0.251
Te 0.908 0.583 0.750
! Electronic total energy = -4.560 eV per atom
! Symmetry = C2/m, No. 12
! V = 330 Å³/f.u.



(7)
! Li3TmSc2Te6 PBE relaxed; values from VASP
&SYSTEM
  ibrav = 0, nat = 12, ntyp = 4
/
ATOMIC_SPECIES
Li 6.94 Li.upf
Tm 168.93 Tm.upf
Sc 44.96 Sc.upf
Te 127.60 Te.upf
CELL_PARAMETERS angstrom
3.644 -6.313 0.000
3.644 6.313 0.000
-2.434 0.000 6.994
ATOMIC_POSITIONS crystal
Li 0.000 0.000 0.000
Li 0.336 0.664 0.000
Li 0.664 0.336 0.000
Tm 0.500 0.500 0.500
Sc 0.167 0.833 0.500
Sc 0.833 0.167 0.500
Te 0.075 0.417 0.253
Te 0.240 0.240 0.747
Te 0.417 0.075 0.253
Te 0.583 0.925 0.747
Te 0.760 0.760 0.253
Te 0.925 0.583 0.747
! Electronic total energy = -4.684 eV per atom
! Symmetry = C2/m, No. 12
! V = 322 Å³/f.u.



(8)
! LiTm3Sc3Te8 PBE relaxed; values from VASP
&SYSTEM
  ibrav = 0, nat = 15, ntyp = 4
/
ATOMIC_SPECIES
Li 6.94 Li.upf
Tm 168.93 Tm.upf
Sc 44.96 Sc.upf
Te 127.60 Te.upf
CELL_PARAMETERS angstrom
4.216 2.434 6.897
-4.216 2.434 6.897
0.000 -4.868 6.897
ATOMIC_POSITIONS crystal
Li 0.000 0.000 0.000
Tm 0.000 0.000 0.500
Tm 0.000 0.500 0.000
Tm 0.500 0.000 0.000
Sc 0.000 0.500 0.500
Sc 0.500 0.000 0.500
Sc 0.500 0.500 0.000
Te 0.251 0.251 0.743
Te 0.251 0.743 0.251
Te 0.254 0.254 0.254
Te 0.257 0.749 0.749
Te 0.743 0.251 0.251
Te 0.746 0.746 0.746
Te 0.749 0.257 0.749
Te 0.749 0.749 0.257
! Electronic total energy = -5.166 eV per atom
! Symmetry = R-3m, No. 166
! DOS(E_F) = 0.358 states/eV per atom
! V = 425 Å³/f.u.



(9)
! LiTmScTe3 PBE relaxed; values from VASP
&SYSTEM
  ibrav = 0, nat = 12, ntyp = 4
/
ATOMIC_SPECIES
Li 6.94 Li.upf
Tm 168.93 Tm.upf
Sc 44.96 Sc.upf
Te 127.60 Te.upf
CELL_PARAMETERS angstrom
8.508 0.000 0.000
0.000 4.129 0.000
-2.365 0.000 9.055
ATOMIC_POSITIONS crystal
Li 0.089 0.250 0.088
Li 0.911 0.750 0.912
Tm 0.188 0.250 0.737
Tm 0.812 0.750 0.263
Sc 0.335 0.750 0.335
Sc 0.665 0.250 0.665
Te 0.095 0.250 0.379
Te 0.248 0.750 0.000
Te 0.422 0.750 0.662
Te 0.578 0.250 0.338
Te 0.752 0.250 0.000
Te 0.905 0.750 0.621
! Electronic total energy = -4.824 eV per atom
! Symmetry = P2_1/m, No. 11
! DOS(E_F) = 0.594 states/eV per atom
! V = 159 Å³/f.u.



(10)
! Li4Sc3UTe8 PBE relaxed; values from VASP
&SYSTEM
  ibrav = 0, nat = 16, ntyp = 4
/
ATOMIC_SPECIES
Li 6.94 Li.upf
Sc 44.96 Sc.upf
U 238.03 U.upf
Te 127.60 Te.upf
CELL_PARAMETERS angstrom
4.203 2.427 7.014
-4.203 2.427 7.014
0.000 -4.854 7.014
ATOMIC_POSITIONS crystal
Li 0.000 0.000 0.000
Li 0.000 0.500 0.500
Li 0.500 0.000 0.500
Li 0.500 0.500 0.000
Sc 0.000 0.000 0.500
Sc 0.000 0.500 0.000
Sc 0.500 0.000 0.000
U 0.500 0.500 0.500
Te 0.239 0.756 0.756
Te 0.244 0.244 0.761
Te 0.244 0.761 0.244
Te 0.247 0.247 0.247
Te 0.753 0.753 0.753
Te 0.756 0.239 0.756
Te 0.756 0.756 0.239
Te 0.761 0.244 0.244
! Electronic total energy = -5.003 eV per atom
! Symmetry = R-3m, No. 166
! DOS(E_F) = 0.617 states/eV per atom
! V = 429 Å³/f.u.



(11)
! Li3ScU2Te6 PBE relaxed; values from VASP
&SYSTEM
  ibrav = 0, nat = 12, ntyp = 4
/
ATOMIC_SPECIES
Li 6.94 Li.upf
Sc 44.96 Sc.upf
U 238.03 U.upf
Te 127.60 Te.upf
CELL_PARAMETERS angstrom
3.689 -6.391 0.000
3.689 6.391 0.000
-2.459 0.000 7.103
ATOMIC_POSITIONS crystal
Li 0.000 0.000 0.000
Li 0.331 0.669 0.000
Li 0.669 0.331 0.000
Sc 0.500 0.500 0.500
U 0.167 0.833 0.500
U 0.833 0.167 0.500
Te 0.094 0.415 0.244
Te 0.264 0.264 0.755
Te 0.415 0.094 0.244
Te 0.585 0.906 0.756
Te 0.736 0.736 0.245
Te 0.906 0.585 0.756
! Electronic total energy = -5.346 eV per atom
! Symmetry = C2/m, No. 12
! DOS(E_F) = 0.991 states/eV per atom
! V = 335 Å³/f.u.



(12)
! LiY2Sc3Te6 PBE relaxed; values from VASP
&SYSTEM
  ibrav = 0, nat = 12, ntyp = 4
/
ATOMIC_SPECIES
Li 6.94 Li.upf
Y 88.91 Y.upf
Sc 44.96 Sc.upf
Te 127.60 Te.upf
CELL_PARAMETERS angstrom
3.668 -6.352 0.000
3.668 6.352 0.000
-2.458 0.000 6.931
ATOMIC_POSITIONS crystal
Li 0.000 0.000 0.000
Y 0.336 0.664 0.000
Y 0.664 0.336 0.000
Sc 0.172 0.828 0.500
Sc 0.500 0.500 0.500
Sc 0.828 0.172 0.500
Te 0.085 0.406 0.257
Te 0.234 0.234 0.740
Te 0.406 0.085 0.257
Te 0.594 0.915 0.743
Te 0.766 0.766 0.260
Te 0.915 0.594 0.743
! Electronic total energy = -5.607 eV per atom
! Symmetry = C2/m, No. 12
! DOS(E_F) = 0.626 states/eV per atom
! V = 323 Å³/f.u.



(13)
! LiY3Sc2Te6 PBE relaxed; values from VASP
&SYSTEM
  ibrav = 0, nat = 12, ntyp = 4
/
ATOMIC_SPECIES
Li 6.94 Li.upf
Y 88.91 Y.upf
Sc 44.96 Sc.upf
Te 127.60 Te.upf
CELL_PARAMETERS angstrom
9.313 -2.137 0.000
9.313 2.137 0.000
-1.963 0.000 8.317
ATOMIC_POSITIONS crystal
Li 0.000 0.000 0.000
Y 0.000 0.000 0.500
Y 0.334 0.334 0.171
Y 0.666 0.666 0.829
Sc 0.332 0.332 0.658
Sc 0.668 0.668 0.342
Te 0.163 0.163 0.092
Te 0.169 0.169 0.577
Te 0.496 0.496 0.760
Te 0.504 0.504 0.240
Te 0.831 0.831 0.423
Te 0.837 0.837 0.908
! Electronic total energy = -5.655 eV per atom
! Symmetry = C2/m, No. 12
! DOS(E_F) = 0.434 states/eV per atom
! V = 331 Å³/f.u.



(14)
! LiY2ScTe5 PBE relaxed; values from VASP
&SYSTEM
  ibrav = 0, nat = 18, ntyp = 4
/
ATOMIC_SPECIES
Li 6.94 Li.upf
Y 88.91 Y.upf
Sc 44.96 Sc.upf
Te 127.60 Te.upf
CELL_PARAMETERS angstrom
2.132 -9.138 0.000
2.132 9.138 0.000
0.000 0.000 12.962
ATOMIC_POSITIONS crystal
Li 0.065 0.935 0.500
Li 0.935 0.065 0.000
Y 0.371 0.629 0.339
Y 0.394 0.606 0.724
Y 0.606 0.394 0.224
Y 0.629 0.371 0.839
Sc 0.306 0.694 0.051
Sc 0.694 0.306 0.551
Te 0.002 0.998 0.824
Te 0.144 0.856 0.039
Te 0.193 0.807 0.388
Te 0.219 0.781 0.704
Te 0.452 0.548 0.111
Te 0.548 0.452 0.611
Te 0.781 0.219 0.204
Te 0.807 0.193 0.888
Te 0.856 0.144 0.539
Te 0.998 0.002 0.324
! Electronic total energy = -5.309 eV per atom
! Symmetry = Cmc2_1, No. 36
! V = 252 Å³/f.u.



(15)
! Li2YSc3Te6 PBE relaxed; values from VASP
&SYSTEM
  ibrav = 0, nat = 12, ntyp = 4
/
ATOMIC_SPECIES
Li 6.94 Li.upf
Y 88.91 Y.upf
Sc 44.96 Sc.upf
Te 127.60 Te.upf
CELL_PARAMETERS angstrom
3.625 -6.278 0.000
3.625 6.278 0.000
-2.431 0.000 6.978
ATOMIC_POSITIONS crystal
Li 0.170 0.830 0.000
Li 0.830 0.170 0.000
Y 0.500 0.500 0.000
Sc 0.000 0.000 0.500
Sc 0.338 0.662 0.500
Sc 0.662 0.338 0.500
Te 0.074 0.415 0.744
Te 0.242 0.242 0.252
Te 0.415 0.074 0.744
Te 0.585 0.926 0.256
Te 0.758 0.758 0.748
Te 0.926 0.585 0.256
! Electronic total energy = -5.223 eV per atom
! Symmetry = C2/m, No. 12
! DOS(E_F) = 0.374 states/eV per atom
! V = 318 Å³/f.u.



(16)
! Li2ScZnTe PBE relaxed; values from VASP
&SYSTEM
  ibrav = 0, nat = 5, ntyp = 4
/
ATOMIC_SPECIES
Li 6.94 Li.upf
Sc 44.96 Sc.upf
Zn 65.41 Zn.upf
Te 127.60 Te.upf
CELL_PARAMETERS angstrom
5.990 0.000 0.000
0.000 5.990 0.000
0.000 0.000 5.345
ATOMIC_POSITIONS crystal
Li 0.000 0.500 0.000
Li 0.500 0.000 0.000
Sc 0.000 0.000 0.000
Zn 0.500 0.500 0.500
Te 0.000 0.000 0.500
! Electronic total energy = -2.561 eV per atom
! Symmetry = P4/mmm, No. 123
! DOS(E_F) = 0.921 states/eV per atom
! V = 192 Å³/f.u.



(17)
! Li3ZrSc2Te6 PBE relaxed; values from VASP
&SYSTEM
  ibrav = 0, nat = 12, ntyp = 4
/
ATOMIC_SPECIES
Li 6.94 Li.upf
Zr 91.22 Zr.upf
Sc 44.96 Sc.upf
Te 127.60 Te.upf
CELL_PARAMETERS angstrom
3.564 -6.172 0.000
3.564 6.172 0.000
-2.378 0.000 7.046
ATOMIC_POSITIONS crystal
Li 0.000 0.000 0.000
Li 0.335 0.665 0.000
Li 0.665 0.335 0.000
Zr 0.500 0.500 0.500
Sc 0.167 0.833 0.500
Sc 0.833 0.167 0.500
Te 0.084 0.417 0.253
Te 0.249 0.249 0.747
Te 0.417 0.084 0.253
Te 0.583 0.916 0.747
Te 0.751 0.751 0.253
Te 0.916 0.583 0.747
! Electronic total energy = -4.894 eV per atom
! Symmetry = C2/m, No. 12
! DOS(E_F) = 0.360 states/eV per atom
! V = 310 Å³/f.u.



(18)
! LiTh2Sc PBE relaxed; values from VASP
&SYSTEM
  ibrav = 0, nat = 16, ntyp = 3
/
ATOMIC_SPECIES
Li 6.94 Li.upf
Th 232.04 Th.upf
Sc 44.96 Sc.upf
CELL_PARAMETERS angstrom
7.573 0.000 0.000
0.000 7.573 0.000
0.000 0.000 7.573
ATOMIC_POSITIONS crystal
Li 0.000 0.000 0.000
Li 0.000 0.500 0.500
Li 0.500 0.000 0.500
Li 0.500 0.500 0.000
Th 0.250 0.250 0.250
Th 0.250 0.250 0.750
Th 0.250 0.750 0.250
Th 0.250 0.750 0.750
Th 0.750 0.250 0.250
Th 0.750 0.250 0.750
Th 0.750 0.750 0.250
Th 0.750 0.750 0.750
Sc 0.000 0.000 0.500
Sc 0.000 0.500 0.000
Sc 0.500 0.000 0.000
Sc 0.500 0.500 0.500
! Symmetry = Fm-3m, No. 225
! DOS(E_F) = 1.484 states/eV per atom
! Energy of formation = 0.1996 eV per atom
! Relative energy among the computed polymorphs = 1.32 kcal/mol of atoms
! V = 109 Å³/f.u.



(19)
! LiTh2Sc PBE relaxed; values from VASP
&SYSTEM
  ibrav = 0, nat = 4, ntyp = 3
/
ATOMIC_SPECIES
Li 6.94 Li.upf
Th 232.04 Th.upf
Sc 44.96 Sc.upf
CELL_PARAMETERS angstrom
3.416 0.000 0.000
0.000 3.416 0.000
0.000 0.000 9.419
ATOMIC_POSITIONS crystal
Li 0.000 0.000 0.000
Th 0.500 0.500 0.244
Th 0.500 0.500 0.756
Sc 0.000 0.000 0.500
! Symmetry = P4/mmm, No. 123
! DOS(E_F) = 0.741 states/eV per atom
! Energy of formation = 0.1425 eV per atom
! Relative energy among the computed polymorphs = 0.00 kcal/mol of atoms
! V = 110 Å³/f.u.



(20)
! LiThSc PBE relaxed; values from VASP
&SYSTEM
  ibrav = 0, nat = 3, ntyp = 3
/
ATOMIC_SPECIES
Li 6.94 Li.upf
Th 232.04 Th.upf
Sc 44.96 Sc.upf
CELL_PARAMETERS angstrom
3.369 0.000 0.000
-1.684 2.918 0.000
0.000 0.000 8.259
ATOMIC_POSITIONS crystal
Li 0.000 0.000 0.000
Th 0.333 0.667 0.648
Sc 0.667 0.333 0.318
! Symmetry = P3m1, No. 156
! DOS(E_F) = 1.081 states/eV per atom
! Energy of formation = 0.1642 eV per atom
! Relative energy among the computed polymorphs = 1.94 kcal/mol of atoms
! V = 81 Å³/f.u.



(21)
! LiThSc PBE relaxed; values from VASP
&SYSTEM
  ibrav = 0, nat = 6, ntyp = 3
/
ATOMIC_SPECIES
Li 6.94 Li.upf
Th 232.04 Th.upf
Sc 44.96 Sc.upf
CELL_PARAMETERS angstrom
3.508 0.000 0.000
0.000 3.508 0.000
0.000 0.000 12.342
ATOMIC_POSITIONS crystal
Li 0.250 0.250 0.057
Li 0.750 0.750 0.943
Th 0.250 0.250 0.398
Th 0.750 0.750 0.602
Sc 0.250 0.250 0.788
Sc 0.750 0.750 0.212
! Symmetry = P4/nmm, No. 129
! DOS(E_F) = 1.366 states/eV per atom
! Energy of formation = 0.0802 eV per atom
! Relative energy among the computed polymorphs = 0.00 kcal/mol of atoms
! V = 76 Å³/f.u.



Number 1: total magnetization 0.00 μB/cell. Number 2: total magnetization 2.01 μB/cell. Number 3: total magnetization 0.00 μB/cell. Number 4: total magnetization 0.00 μB/cell. Number 5: total magnetization 0.00 μB/cell. Number 6: total magnetization 0.00 μB/cell. Number 7: total magnetization 0.00 μB/cell. Number 8: total magnetization 0.00 μB/cell. Number 9: total magnetization 0.01 μB/cell. Number 10: total magnetization 2.97 μB/cell. Number 11: total magnetization 6.01 μB/cell. Number 12: total magnetization 0.00 μB/cell. Number 13: total magnetization 0.00 μB/cell. Number 14: total magnetization 0.00 μB/cell. Number 15: total magnetization 0.00 μB/cell. Number 16: total magnetization 0.47 μB/cell. Number 17: total magnetization 0.00 μB/cell. Number 18: total magnetization 0.00 μB/cell. Number 19: total magnetization 0.00 μB/cell. Number 20: total magnetization 0.00 μB/cell. Number 21: total magnetization 0.00 μB/cell.